# 1
{
  "formula": "CrPdS3",
  "functional": "GGA-PBE",
  "state": "optimized geometry",
  "sg": "Pm-3m, No. 221",
  "lattice": [[4.445, 0.000, 0.000], [0.000, 4.445, 0.000], [0.000, 0.000, 4.445]],
  "species": ["Cr", "Pd", "S", "S", "S"],
  "fractional_positions": [[0.000, 0.000, 0.000], [0.500, 0.500, 0.500], [0.000, 0.000, 0.500], [0.000, 0.500, 0.000], [0.500, 0.000, 0.000]]
}

# 2
{
  "formula": "Cr2PdS",
  "functional": "GGA-PBE",
  "state": "optimized geometry",
  "sg": "I-42d, No. 122",
  "lattice": [[6.662, 0.000, 0.000], [0.000, 6.662, 0.000], [0.000, 0.000, 4.906]],
  "species": ["Cr", "Cr", "Cr", "Cr", "Cr", "Cr", "Cr", "Cr", "Pd", "Pd", "Pd", "Pd", "S", "S", "S", "S"],
  "fractional_positions": [[0.192, 0.250, 0.125], [0.250, 0.692, 0.375], [0.250, 0.808, 0.875], [0.308, 0.250, 0.625], [0.692, 0.750, 0.625], [0.750, 0.192, 0.875], [0.750, 0.308, 0.375], [0.808, 0.750, 0.125], [0.000, 0.000, 0.500], [0.000, 0.500, 0.750], [0.500, 0.000, 0.250], [0.500, 0.500, 0.000], [0.000, 0.000, 0.000], [0.000, 0.500, 0.250], [0.500, 0.000, 0.750], [0.500, 0.500, 0.500]]
}

# 3
{
  "formula": "CrPd2S4",
  "functional": "GGA-PBE",
  "state": "optimized geometry",
  "sg": "I4/mmm, No. 139",
  "lattice": [[4.760, 0.000, 0.000], [0.000, 4.760, 0.000], [0.000, 0.000, 11.493]],
  "species": ["Cr", "Cr", "Pd", "Pd", "Pd", "Pd", "S", "S", "S", "S", "S", "S", "S", "S"],
  "fractional_positions": [[0.000, 0.000, 0.000], [0.500, 0.500, 0.500], [0.000, 0.000, 0.387], [0.000, 0.000, 0.613], [0.500, 0.500, 0.113], [0.500, 0.500, 0.887], [0.000, 0.000, 0.190], [0.000, 0.000, 0.810], [0.000, 0.500, 0.000], [0.000, 0.500, 0.500], [0.500, 0.000, 0.000], [0.500, 0.000, 0.500], [0.500, 0.500, 0.310], [0.500, 0.500, 0.690]]
}

| no. | M_tot (μB/f.u.) | uncorrected formation energy (meV/atom) |
| --- | --- | --- |
| 1 | 0.00 | 362 |
| 2 | 0.00 | 216 |
| 3 | 1.09 | 142 |